Entry 1:
A plane-wave DFT calculation with PBE was carried out for a relaxed AcDyTm14 crystal.

- D(E_F) (states/eV per atom) = 1.53
- crystal system = orthorhombic

Geometry as CIF:
```
data_AcDyTm14
_chemical_formula_sum 'Ac2 Dy2 Tm28'
_space_group_name_H-M_alt 'A m m 2'
_space_group_IT_number 38
_cell_length_a 11.168
_cell_length_b 7.186
_cell_length_c 12.436
_cell_angle_alpha 90.00
_cell_angle_beta 90.00
_cell_angle_gamma 90.00
loop_
_space_group_symop_operation_xyz
'x,y,z'
'-x,-y,z'
'-x,y,z'
'x,-y,z'
'x,y+1/2,z+1/2'
'-x,-y+1/2,z+1/2'
'-x,y+1/2,z+1/2'
'x,-y+1/2,z+1/2'
loop_
_atom_site_label
_atom_site_fract_x
_atom_site_fract_y
_atom_site_fract_z
Ac1 0.000 0.000 0.000
Dy1 0.000 0.000 0.500
Tm1 0.000 0.249 0.251
Tm2 0.251 0.000 0.668
Tm3 0.255 0.000 0.169
Tm4 0.256 0.248 0.417
Tm5 0.500 0.000 0.001
Tm6 0.500 0.000 0.501
Tm7 0.500 0.250 0.251
```


Entry 2:
A plane-wave DFT calculation with PBE was carried out for a relaxed Ac2Dy7Tm4 crystal.

- D(E_F) (states/eV per atom) = 1.62
- crystal system = trigonal

Geometry as CIF:
```
data_Ac2Dy7Tm4
_chemical_formula_sum 'Ac2 Dy7 Tm4'
_space_group_name_H-M_alt 'P -3 1 m'
_space_group_IT_number 162
_space_group_name_Hall '-P 3 2'
_cell_length_a 6.1616
_cell_length_b 6.1616
_cell_length_c 13.2792
_cell_angle_alpha 90.00
_cell_angle_beta 90.00
_cell_angle_gamma 120.00
loop_
_atom_site_label
_atom_site_fract_x
_atom_site_fract_y
_atom_site_fract_z
Ac1 0.3333 0.6667 0.0000
Dy1 0.0000 0.0000 0.0000
Dy2 0.0000 0.3571 0.7765
Tm1 0.0000 0.0000 0.3958
Tm2 0.3333 0.6667 0.5000
```


Entry 3:
A plane-wave DFT calculation with PBE was carried out for a relaxed AcDy2Tm4 crystal.

- D(E_F) (states/eV per atom) = 1.59
- crystal system = triclinic

Geometry as CIF:
```
data_AcDy2Tm4
_chemical_formula_sum 'Ac2 Dy4 Tm8'
_space_group_name_H-M_alt 'P 1'
_space_group_IT_number 1
_cell_length_a 7.080
_cell_length_b 8.642
_cell_length_c 8.811
_cell_angle_alpha 114.37
_cell_angle_beta 101.58
_cell_angle_gamma 101.65
loop_
_space_group_symop_operation_xyz
'x,y,z'
loop_
_atom_site_label
_atom_site_fract_x
_atom_site_fract_y
_atom_site_fract_z
Ac1 0.000 0.000 0.000
Ac2 0.086 0.726 0.574
Dy1 0.109 0.552 0.868
Dy2 0.228 0.162 0.727
Dy3 0.582 0.733 0.585
Dy4 0.800 0.892 0.319
Tm1 0.198 0.323 0.451
Tm2 0.314 0.897 0.319
Tm3 0.403 0.447 0.161
Tm4 0.502 0.004 0.997
Tm5 0.599 0.554 0.861
Tm6 0.693 0.324 0.447
Tm7 0.718 0.155 0.720
Tm8 0.889 0.435 0.142
```


Entry 4:
A plane-wave DFT calculation with PBE was carried out for a relaxed Ac2Dy5Tm crystal.

- D(E_F) (states/eV per atom) = 1.64
- crystal system = tetragonal

Geometry as CIF:
```
data_Ac2Dy5Tm
_chemical_formula_sum 'Ac4 Dy10 Tm2'
_space_group_name_H-M_alt 'I 4/m m m'
_space_group_IT_number 139
_space_group_name_Hall '-I 4 2'
_cell_length_a 5.212
_cell_length_b 5.212
_cell_length_c 20.207
_cell_angle_alpha 90.00
_cell_angle_beta 90.00
_cell_angle_gamma 90.00
loop_
_atom_site_label
_atom_site_fract_x
_atom_site_fract_y
_atom_site_fract_z
Ac1 0.000 0.000 0.250
Dy1 0.000 0.000 0.000
Dy2 0.000 0.500 0.118
Tm1 0.000 0.000 0.500
```


Entry 5:
A plane-wave DFT calculation with PBE was carried out for a relaxed AcDyTm2 crystal.

- D(E_F) (states/eV per atom) = 1.48
- crystal system = trigonal

Geometry as CIF:
```
data_AcDyTm2
_chemical_formula_sum 'Ac3 Dy3 Tm6'
_space_group_name_H-M_alt 'R -3 m'
_space_group_IT_number 166
_space_group_name_Hall '-R 3 2"'
_cell_length_a 3.5461
_cell_length_b 3.5461
_cell_length_c 37.7324
_cell_angle_alpha 90.00
_cell_angle_beta 90.00
_cell_angle_gamma 120.00
loop_
_atom_site_label
_atom_site_fract_x
_atom_site_fract_y
_atom_site_fract_z
Ac1 0.0000 0.0000 0.0000
Dy1 0.0000 0.0000 0.5000
Tm1 0.0000 0.0000 0.0929
```


Entry 6:
A plane-wave DFT calculation with PBE was carried out for a relaxed Ac8Dy2Tm crystal.

- D(E_F) (states/eV per atom) = 1.88
- crystal system = orthorhombic

Geometry as CIF:
```
data_Ac8Dy2Tm
_chemical_formula_sum 'Ac16 Dy4 Tm2'
_space_group_name_H-M_alt 'I m m m'
_space_group_IT_number 71
_space_group_name_Hall '-I 2 2'
_cell_length_a 5.786
_cell_length_b 9.664
_cell_length_c 16.515
_cell_angle_alpha 90.00
_cell_angle_beta 90.00
_cell_angle_gamma 90.00
loop_
_atom_site_label
_atom_site_fract_x
_atom_site_fract_y
_atom_site_fract_z
Ac1 0.000 0.000 0.146
Ac2 0.000 0.213 0.344
Ac3 0.000 0.308 0.000
Dy1 0.000 0.500 0.203
Tm1 0.000 0.500 0.500
```


Entry 7:
A plane-wave DFT calculation with PBE was carried out for a relaxed AcDy7Tm12 crystal.

- D(E_F) (states/eV per atom) = 1.85
- crystal system = trigonal

Geometry as CIF:
```
data_AcDy7Tm12
_chemical_formula_sum 'Ac3 Dy21 Tm36'
_space_group_name_H-M_alt 'R -3'
_space_group_IT_number 148
_space_group_name_Hall '-R 3'
_cell_length_a 11.9357
_cell_length_b 11.9357
_cell_length_c 15.7576
_cell_angle_alpha 90.00
_cell_angle_beta 90.00
_cell_angle_gamma 120.00
loop_
_atom_site_label
_atom_site_fract_x
_atom_site_fract_y
_atom_site_fract_z
Ac1 0.0000 0.0000 0.0000
Dy1 0.0000 0.0000 0.5000
Dy2 0.0477 0.1900 0.7955
Tm1 0.0077 0.4412 0.7169
Tm2 0.0490 0.5877 0.0842
```


Entry 8:
A plane-wave DFT calculation with PBE was carried out for a relaxed AcDy4Tm3 crystal.

- D(E_F) (states/eV per atom) = 1.82
- crystal system = orthorhombic

Geometry as CIF:
```
data_AcDy4Tm3
_chemical_formula_sum 'Ac2 Dy8 Tm6'
_space_group_name_H-M_alt 'I m m m'
_space_group_IT_number 71
_space_group_name_Hall '-I 2 2'
_cell_length_a 3.535
_cell_length_b 11.597
_cell_length_c 12.987
_cell_angle_alpha 90.00
_cell_angle_beta 90.00
_cell_angle_gamma 90.00
loop_
_atom_site_label
_atom_site_fract_x
_atom_site_fract_y
_atom_site_fract_z
Ac1 0.000 0.000 0.000
Dy1 0.000 0.240 0.362
Tm1 0.000 0.000 0.500
Tm2 0.000 0.500 0.237
```


Entry 9:
A plane-wave DFT calculation with PBE was carried out for a relaxed Ac2DyTm crystal.

- D(E_F) (states/eV per atom) = 1.57
- crystal system = cubic

Geometry as CIF:
```
data_Ac2DyTm
_chemical_formula_sum 'Ac8 Dy4 Tm4'
_space_group_name_H-M_alt 'F m -3 m'
_space_group_IT_number 225
_space_group_name_Hall '-F 4 2 3'
_cell_length_a 8.436
_cell_length_b 8.436
_cell_length_c 8.436
_cell_angle_alpha 90.00
_cell_angle_beta 90.00
_cell_angle_gamma 90.00
loop_
_atom_site_label
_atom_site_fract_x
_atom_site_fract_y
_atom_site_fract_z
Ac1 0.250 0.250 0.250
Dy1 0.000 0.000 0.000
Tm1 0.000 0.000 0.500
```


Entry 10:
A plane-wave DFT calculation with PBE was carried out for a relaxed AcDy4Tm2 crystal.

- D(E_F) (states/eV per atom) = 1.55
- crystal system = triclinic

Geometry as CIF:
```
data_AcDy4Tm2
_chemical_formula_sum 'Ac2 Dy8 Tm4'
_space_group_name_H-M_alt 'P 1'
_space_group_IT_number 1
_cell_length_a 7.121
_cell_length_b 8.593
_cell_length_c 8.889
_cell_angle_alpha 114.31
_cell_angle_beta 101.31
_cell_angle_gamma 101.77
loop_
_space_group_symop_operation_xyz
'x,y,z'
loop_
_atom_site_label
_atom_site_fract_x
_atom_site_fract_y
_atom_site_fract_z
Ac1 0.000 0.000 0.000
Ac2 0.414 0.450 0.162
Dy1 0.082 0.732 0.586
Dy2 0.107 0.556 0.861
Dy3 0.201 0.335 0.458
Dy4 0.312 0.896 0.330
Dy5 0.499 0.994 0.992
Dy6 0.606 0.558 0.858
Dy7 0.722 0.158 0.728
Dy8 0.810 0.894 0.331
Tm1 0.222 0.155 0.721
Tm2 0.583 0.739 0.593
Tm3 0.705 0.332 0.456
Tm4 0.910 0.454 0.159
```


Size of the total moment / μB/f.u.: 0.00 0.00 0.00 0.00 0.00 0.00 0.00 0.00 0.00 0.00
Raw total energy / eV/atom: -4.4442 -4.2402 -4.3809 -4.3997 -4.2122 -4.0891 -4.2592 -4.3658 -4.2319 -4.4407